Record 1
Entry from Alexandria via LeMat-Bulk: a geometry-optimized Ta3PtPb structure (PBE-GGA).

Cell lengths 5.025, 5.025, 5.025 Å; angles 90.00, 90.00, 90.00 degrees
Sites, in units of the cell vectors:
Ta: 0.000 0.000 0.500
Ta: 0.000 0.500 0.000
Ta: 0.500 0.000 0.000
Pt: 0.500 0.500 0.500
Pb: 0.000 0.000 0.000

Calculated values
**E**: -33.1 eV/cell

=====

Record 2
Entry from Alexandria via LeMat-Bulk: a geometry-optimized TaPt2Pb structure (PBE-GGA).

Cell lengths 5.092, 5.092, 2.915 Å; angles 90.00, 90.00, 90.00 degrees
Sites, in units of the cell vectors:
Ta: 0.000 0.000 0.000
Pt: 0.000 0.500 0.500
Pt: 0.500 0.000 0.500
Pb: 0.500 0.500 0.000

Calculated values
**E**: -27.8 eV/cell

=====

Record 3
Entry from Alexandria via LeMat-Bulk: a geometry-optimized TaPt2Pb structure (PBE-GGA).

Cell lengths 7.507, 7.507, 5.777 Å; angles 90.00, 90.00, 90.00 degrees
Sites, in units of the cell vectors:
Ta: 0.000 0.000 0.000
Ta: 0.000 0.500 0.250
Ta: 0.500 0.000 0.750
Ta: 0.500 0.500 0.500
Pt: 0.222 0.750 0.125
Pt: 0.250 0.222 0.875
Pt: 0.250 0.278 0.375
Pt: 0.278 0.750 0.625
Pt: 0.722 0.250 0.625
Pt: 0.750 0.722 0.375
Pt: 0.750 0.778 0.875
Pt: 0.778 0.250 0.125
Pb: 0.000 0.000 0.500
Pb: 0.000 0.500 0.750
Pb: 0.500 0.000 0.250
Pb: 0.500 0.500 0.000

Calculated values
**E**: -110.0 eV/cell

=====

Record 4
Entry from Alexandria via LeMat-Bulk: a geometry-optimized TaPtPb2 structure (PBE-GGA).

Cell lengths 6.994, 6.994, 6.994 Å; angles 90.00, 90.00, 90.00 degrees
Sites, in units of the cell vectors:
Ta: 0.000 0.000 0.000
Ta: 0.000 0.500 0.500
Ta: 0.500 0.000 0.500
Ta: 0.500 0.500 0.000
Pt: 0.000 0.000 0.500
Pt: 0.000 0.500 0.000
Pt: 0.500 0.000 0.000
Pt: 0.500 0.500 0.500
Pb: 0.250 0.250 0.250
Pb: 0.250 0.250 0.750
Pb: 0.250 0.750 0.250
Pb: 0.250 0.750 0.750
Pb: 0.750 0.250 0.250
Pb: 0.750 0.250 0.750
Pb: 0.750 0.750 0.250
Pb: 0.750 0.750 0.750

Calculated values
**E**: -92.3 eV/cell

=====

Record 5
Entry from Alexandria via LeMat-Bulk: a geometry-optimized TaPtPb4 structure (PBE-GGA).

Cell lengths 6.131, 6.131, 6.131 Å; angles 60.00, 60.00, 60.00 degrees
Sites, in units of the cell vectors:
Ta: 0.000 0.000 0.000
Pt: 0.250 0.250 0.250
Pb: 0.125 0.625 0.625
Pb: 0.625 0.125 0.625
Pb: 0.625 0.625 0.125
Pb: 0.625 0.625 0.625

Calculated values
**E**: -26.2 eV/cell

=====

Record 6
Entry from Alexandria via LeMat-Bulk: a geometry-optimized TaPt2Pb structure (PBE-GGA).

Cell lengths 2.945, 5.009, 10.169 Å; angles 90.00, 90.00, 90.00 degrees
Sites, in units of the cell vectors:
Ta: 0.000 0.000 0.000
Ta: 0.500 0.500 0.500
Pt: 0.000 0.000 0.525
Pt: 0.000 0.500 0.275
Pt: 0.500 0.000 0.775
Pt: 0.500 0.500 0.025
Pb: 0.000 0.500 0.768
Pb: 0.500 0.000 0.268

Calculated values
**E**: -55.5 eV/cell

=====

Record 7
Entry from Alexandria via LeMat-Bulk: a geometry-optimized TaPtPb2 structure (PBE-GGA).

Cell lengths 7.087, 7.087, 7.087 Å; angles 90.00, 90.00, 90.00 degrees
Sites, in units of the cell vectors:
Ta: 0.000 0.000 0.000
Ta: 0.000 0.500 0.500
Ta: 0.500 0.000 0.500
Ta: 0.500 0.500 0.000
Pt: 0.250 0.250 0.250
Pt: 0.250 0.750 0.750
Pt: 0.750 0.250 0.750
Pt: 0.750 0.750 0.250
Pb: 0.000 0.000 0.500
Pb: 0.000 0.500 0.000
Pb: 0.250 0.250 0.750
Pb: 0.250 0.750 0.250
Pb: 0.500 0.000 0.000
Pb: 0.500 0.500 0.500
Pb: 0.750 0.250 0.250
Pb: 0.750 0.750 0.750

Calculated values
**E**: -91.8 eV/cell

=====

Record 8
Entry from Alexandria via LeMat-Bulk: a geometry-optimized TaPtPb3 structure (PBE-GGA).

Cell lengths 5.340, 5.340, 5.340 Å; angles 90.00, 90.00, 90.00 degrees
Sites, in units of the cell vectors:
Ta: 0.000 0.000 0.000
Pt: 0.500 0.500 0.500
Pb: 0.000 0.500 0.500
Pb: 0.500 0.000 0.500
Pb: 0.500 0.500 0.000

Calculated values
**E**: -23.6 eV/cell

=====

Record 9
Entry from Alexandria via LeMat-Bulk: a geometry-optimized Ta3PtPb structure (PBE-GGA).

Cell lengths 4.932, 4.932, 4.932 Å; angles 90.00, 90.00, 90.00 degrees
Sites, in units of the cell vectors:
Ta: 0.000 0.000 0.500
Ta: 0.000 0.500 0.000
Ta: 0.500 0.000 0.000
Pt: 0.000 0.000 0.000
Pb: 0.500 0.500 0.500

Calculated values
**E**: -40.1 eV/cell

=====

Record 10
Entry from Alexandria via LeMat-Bulk: a geometry-optimized TaPtPb2 structure (PBE-GGA).

Cell lengths 3.122, 4.706, 5.908 Å; angles 90.00, 93.25, 90.00 degrees
Sites, in units of the cell vectors:
Ta: 0.000 0.000 0.000
Pt: 0.500 0.000 0.500
Pb: 0.307 0.500 0.751
Pb: 0.693 0.500 0.249

Calculated values
**E**: -23.4 eV/cell

=====

Record 11
Entry from Alexandria via LeMat-Bulk: a geometry-optimized TaPtPb2 structure (PBE-GGA).

Cell lengths 7.822, 7.822, 6.047 Å; angles 90.00, 90.00, 90.00 degrees
Sites, in units of the cell vectors:
Ta: 0.000 0.000 0.000
Ta: 0.000 0.500 0.250
Ta: 0.500 0.000 0.750
Ta: 0.500 0.500 0.500
Pt: 0.000 0.000 0.500
Pt: 0.000 0.500 0.750
Pt: 0.500 0.000 0.250
Pt: 0.500 0.500 0.000
Pb: 0.228 0.750 0.625
Pb: 0.250 0.228 0.375
Pb: 0.250 0.272 0.875
Pb: 0.272 0.750 0.125
Pb: 0.728 0.250 0.125
Pb: 0.750 0.728 0.875
Pb: 0.750 0.772 0.375
Pb: 0.772 0.250 0.625

Calculated values
**E**: -90.9 eV/cell

=====

Record 12
Entry from Alexandria via LeMat-Bulk: a geometry-optimized TaPtPb2 structure (PBE-GGA).

Cell lengths 11.069, 3.146, 5.398 Å; angles 90.00, 111.52, 90.00 degrees
Sites, in units of the cell vectors:
Ta: 0.000 0.000 0.000
Ta: 0.500 0.500 0.000
Pt: 0.186 0.500 0.340
Pt: 0.686 0.000 0.340
Pb: 0.240 0.000 0.857
Pb: 0.448 0.000 0.480
Pb: 0.740 0.500 0.857
Pb: 0.948 0.500 0.480

Calculated values
**E**: -49.3 eV/cell

=====

Record 13
Entry from Alexandria via LeMat-Bulk: a geometry-optimized TaPt2Pb structure (PBE-GGA).

Cell lengths 3.016, 3.016, 28.687 Å; angles 90.00, 90.00, 120.00 degrees
Sites, in units of the cell vectors:
Ta: 0.000 0.000 0.000
Ta: 0.333 0.667 0.667
Ta: 0.667 0.333 0.333
Pt: 0.000 0.000 0.260
Pt: 0.000 0.000 0.513
Pt: 0.333 0.667 0.179
Pt: 0.333 0.667 0.926
Pt: 0.667 0.333 0.593
Pt: 0.667 0.333 0.846
Pb: 0.000 0.000 0.761
Pb: 0.333 0.667 0.427
Pb: 0.667 0.333 0.094

Calculated values
**E**: -81.4 eV/cell

=====

Record 14
Entry from Alexandria via LeMat-Bulk: a geometry-optimized TaPt2Pb structure (PBE-GGA).

Cell lengths 9.064, 3.455, 5.120 Å; angles 90.00, 100.49, 90.00 degrees
Sites, in units of the cell vectors:
Ta: 0.000 0.000 0.000
Ta: 0.500 0.500 0.000
Pt: 0.224 0.500 0.134
Pt: 0.468 0.000 0.382
Pt: 0.724 0.000 0.134
Pt: 0.968 0.500 0.382
Pb: 0.225 0.000 0.647
Pb: 0.725 0.500 0.647

Calculated values
**E**: -56.5 eV/cell

=====

Record 15
Entry from Alexandria via LeMat-Bulk: a geometry-optimized Ta4PtPb structure (PBE-GGA).

Cell lengths 5.500, 5.500, 5.500 Å; angles 60.00, 60.00, 60.00 degrees
Sites, in units of the cell vectors:
Ta: 0.124 0.124 0.124
Ta: 0.124 0.124 0.627
Ta: 0.124 0.627 0.124
Ta: 0.627 0.124 0.124
Pt: 0.500 0.500 0.500
Pb: 0.750 0.750 0.750

Calculated values
**E**: -54.9 eV/cell

=====

Record 16
Entry from Alexandria via LeMat-Bulk: a geometry-optimized TaPt2Pb structure (PBE-GGA).

Cell lengths 4.184, 4.184, 8.315 Å; angles 90.00, 90.00, 90.00 degrees
Sites, in units of the cell vectors:
Ta: 0.000 0.000 0.000
Ta: 0.500 0.500 0.500
Pt: 0.000 0.000 0.500
Pt: 0.000 0.500 0.250
Pt: 0.500 0.000 0.750
Pt: 0.500 0.500 0.000
Pb: 0.000 0.500 0.750
Pb: 0.500 0.000 0.250

Calculated values
**E**: -55.2 eV/cell

=====

Record 17
Entry from Alexandria via LeMat-Bulk: a geometry-optimized TaPt2Pb structure (PBE-GGA).

Cell lengths 4.123, 4.123, 4.265 Å; angles 90.00, 90.00, 90.00 degrees
Sites, in units of the cell vectors:
Ta: 0.000 0.000 0.000
Pt: 0.000 0.500 0.500
Pt: 0.500 0.000 0.500
Pb: 0.500 0.500 0.000

Calculated values
**E**: -27.6 eV/cell

=====

Record 18
Entry from Alexandria via LeMat-Bulk: a geometry-optimized TaPtPb2 structure (PBE-GGA).

Cell lengths 3.739, 5.183, 8.900 Å; angles 90.00, 90.00, 90.00 degrees
Sites, in units of the cell vectors:
Ta: 0.000 0.000 0.000
Ta: 0.500 0.500 0.000
Pt: 0.000 0.000 0.500
Pt: 0.500 0.500 0.500
Pb: 0.000 0.500 0.261
Pb: 0.000 0.500 0.739
Pb: 0.500 0.000 0.261
Pb: 0.500 0.000 0.739

Calculated values
**E**: -47.2 eV/cell

=====

Record 19
Entry from Alexandria via LeMat-Bulk: a geometry-optimized TaPtPb2 structure (PBE-GGA).

Cell lengths 3.211, 3.211, 28.953 Å; angles 90.00, 90.00, 120.00 degrees
Sites, in units of the cell vectors:
Ta: 0.000 0.000 0.000
Ta: 0.333 0.667 0.667
Ta: 0.667 0.333 0.333
Pt: 0.000 0.000 0.500
Pt: 0.333 0.667 0.167
Pt: 0.667 0.333 0.833
Pb: 0.000 0.000 0.246
Pb: 0.000 0.000 0.754
Pb: 0.333 0.667 0.421
Pb: 0.333 0.667 0.912
Pb: 0.667 0.333 0.088
Pb: 0.667 0.333 0.579

Calculated values
**E**: -70.7 eV/cell

=====

Record 20
Entry from Alexandria via LeMat-Bulk: a geometry-optimized TaPtPb2 structure (PBE-GGA).

Cell lengths 6.909, 6.917, 3.509 Å; angles 90.00, 90.00, 90.00 degrees
Sites, in units of the cell vectors:
Ta: 0.000 0.000 0.000
Ta: 0.500 0.500 0.000
Pt: 0.000 0.500 0.000
Pt: 0.500 0.000 0.000
Pb: 0.250 0.250 0.500
Pb: 0.250 0.750 0.500
Pb: 0.750 0.250 0.500
Pb: 0.750 0.750 0.500

Calculated values
**E**: -47.9 eV/cell

=====

Formation energy from the elements? In order: 2.446 -0.030 0.035 0.559 1.087 -0.023 0.588 1.085 1.042 0.481 0.646 0.171 0.130 -0.153 0.384 0.015 0.015 0.430 0.437 0.346 eV per atom.